(1)
VASP calculation (PBE-GGA) on a relaxed structure of Sc5CoPb.

The structure in CIF format:
```
data_Sc5CoPb
_chemical_formula_sum 'Sc20 Co4 Pb4'
_cell_length_a 10.148
_cell_length_b 6.329
_cell_length_c 10.529
_cell_angle_alpha 90.00
_cell_angle_beta 108.62
_cell_angle_gamma 90.00
_space_group_name_H-M_alt 'C 1 2/c 1'
_space_group_IT_number 15
loop_
_space_group_symop_operation_xyz
'x,y,z'
'-x,-y,-z'
'-x,y,-z+1/2'
'x,-y,z+1/2'
'x+1/2,y+1/2,z'
'-x+1/2,-y+1/2,-z'
'-x+1/2,y+1/2,-z+1/2'
'x+1/2,-y+1/2,z+1/2'
loop_
_atom_site_label
_atom_site_type_symbol
_atom_site_fract_x
_atom_site_fract_y
_atom_site_fract_z
Sc1 Sc 0.000 0.023 0.250
Sc2 Sc 0.122 0.318 0.045
Sc3 Sc 0.215 0.194 0.638
Co1 Co 0.000 0.000 0.000
Pb1 Pb 0.000 0.468 0.750
```

Output
Energy of formation from the pure elements   -0.1074 eV/atom



(2)
VASP calculation (PBE-GGA) on a relaxed structure of Sc12Co6Pb.

The structure in CIF format:
```
data_Sc12Co6Pb
_chemical_formula_sum 'Sc24 Co12 Pb2'
_cell_length_a 9.010
_cell_length_b 9.010
_cell_length_c 9.010
_cell_angle_alpha 90.00
_cell_angle_beta 90.00
_cell_angle_gamma 90.00
_space_group_name_H-M_alt 'I m -3'
_space_group_IT_number 204
_space_group_name_Hall '-I 2 2 3'
loop_
_atom_site_label
_atom_site_type_symbol
_atom_site_fract_x
_atom_site_fract_y
_atom_site_fract_z
Sc1 Sc 0.000 0.199 0.298
Co1 Co 0.000 0.380 0.500
Pb1 Pb 0.000 0.000 0.000
```

Output
Energy of formation from the pure elements   -0.3247 eV/atom



(3)
VASP calculation (PBE-GGA) on a relaxed structure of Sc2CoPb2.

The structure in CIF format:
```
data_Sc2CoPb2
_chemical_formula_sum 'Sc4 Co2 Pb4'
_cell_length_a 3.955
_cell_length_b 3.955
_cell_length_c 15.349
_cell_angle_alpha 90.00
_cell_angle_beta 90.00
_cell_angle_gamma 90.00
_space_group_name_H-M_alt 'I 4/m m m'
_space_group_IT_number 139
_space_group_name_Hall '-I 4 2'
loop_
_atom_site_label
_atom_site_type_symbol
_atom_site_fract_x
_atom_site_fract_y
_atom_site_fract_z
Sc1 Sc 0.000 0.500 0.250
Co1 Co 0.000 0.000 0.000
Pb1 Pb 0.000 0.000 0.407
```

Output
Relative energy among the computed polymorphs   0.706 eV per atom
Energy of formation from the pure elements   0.6306 eV/atom



(4)
VASP calculation (PBE-GGA) on a relaxed structure of Sc4CoPb.

The structure in CIF format:
```
data_Sc4CoPb
_chemical_formula_sum 'Sc16 Co4 Pb4'
_cell_length_a 8.343
_cell_length_b 12.482
_cell_length_c 5.538
_cell_angle_alpha 90.00
_cell_angle_beta 110.58
_cell_angle_gamma 90.00
_space_group_name_H-M_alt 'C 1 2/c 1'
_space_group_IT_number 15
loop_
_space_group_symop_operation_xyz
'x,y,z'
'-x,-y,-z'
'-x,y,-z+1/2'
'x,-y,z+1/2'
'x+1/2,y+1/2,z'
'-x+1/2,-y+1/2,-z'
'-x+1/2,y+1/2,-z+1/2'
'x+1/2,-y+1/2,z+1/2'
loop_
_atom_site_label
_atom_site_type_symbol
_atom_site_fract_x
_atom_site_fract_y
_atom_site_fract_z
Sc1 Sc 0.109 0.161 0.059
Sc2 Sc 0.224 0.426 0.360
Co1 Co 0.000 0.000 0.250
Pb1 Pb 0.000 0.370 0.750
```

Output
Relative energy among the computed polymorphs   0.000 eV per atom
Energy of formation from the pure elements   -0.3297 eV/atom



(5)
VASP calculation (PBE-GGA) on a relaxed structure of ScCo2Pb.

The structure in CIF format:
```
data_ScCo2Pb
_chemical_formula_sum 'Sc1 Co2 Pb1'
_cell_length_a 3.215
_cell_length_b 3.702
_cell_length_c 5.582
_cell_angle_alpha 90.00
_cell_angle_beta 90.00
_cell_angle_gamma 90.00
_space_group_name_H-M_alt 'P m m 2'
_space_group_IT_number 25
loop_
_space_group_symop_operation_xyz
'x,y,z'
'-x,-y,z'
'-x,y,z'
'x,-y,z'
loop_
_atom_site_label
_atom_site_type_symbol
_atom_site_fract_x
_atom_site_fract_y
_atom_site_fract_z
Sc1 Sc 0.000 0.000 0.000
Co1 Co 0.000 0.000 0.439
Co2 Co 0.500 0.500 0.184
Pb1 Pb 0.500 0.500 0.658
```

Output
Energy of formation from the pure elements   0.1538 eV/atom



(6)
VASP calculation (PBE-GGA) on a relaxed structure of Sc2CoPbSe.

The structure in CIF format:
```
data_Sc2CoPbSe
_chemical_formula_sum 'Sc2 Co1 Pb1 Se1'
_cell_length_a 5.447
_cell_length_b 5.447
_cell_length_c 4.663
_cell_angle_alpha 90.00
_cell_angle_beta 90.00
_cell_angle_gamma 90.00
_space_group_name_H-M_alt 'P 4/m m m'
_space_group_IT_number 123
_space_group_name_Hall '-P 4 2'
loop_
_atom_site_label
_atom_site_type_symbol
_atom_site_fract_x
_atom_site_fract_y
_atom_site_fract_z
Sc1 Sc 0.000 0.500 0.000
Co1 Co 0.000 0.000 0.500
Pb1 Pb 0.000 0.000 0.000
Se1 Se 0.500 0.500 0.500
```

Output
Raw formation energy   0.588 eV per atom



(7)
VASP calculation (PBE-GGA) on a relaxed structure of Sc2CoTcPb.

The structure in CIF format:
```
data_Sc2CoTcPb
_chemical_formula_sum 'Sc2 Co1 Tc1 Pb1'
_cell_length_a 5.357
_cell_length_b 5.357
_cell_length_c 4.678
_cell_angle_alpha 90.00
_cell_angle_beta 90.00
_cell_angle_gamma 90.00
_space_group_name_H-M_alt 'P 4/m m m'
_space_group_IT_number 123
_space_group_name_Hall '-P 4 2'
loop_
_atom_site_label
_atom_site_type_symbol
_atom_site_fract_x
_atom_site_fract_y
_atom_site_fract_z
Sc1 Sc 0.000 0.500 0.000
Co1 Co 0.000 0.000 0.500
Tc1 Tc 0.500 0.500 0.500
Pb1 Pb 0.000 0.000 0.000
```

Output
Energy of formation from the pure elements   1.3988 eV/atom



(8)
VASP calculation (PBE-GGA) on a relaxed structure of Y2ScCoPb.

The structure in CIF format:
```
data_Y2ScCoPb
_chemical_formula_sum 'Y2 Sc1 Co1 Pb1'
_cell_length_a 5.193
_cell_length_b 5.193
_cell_length_c 4.818
_cell_angle_alpha 90.00
_cell_angle_beta 90.00
_cell_angle_gamma 90.00
_space_group_name_H-M_alt 'P 4/m m m'
_space_group_IT_number 123
_space_group_name_Hall '-P 4 2'
loop_
_atom_site_label
_atom_site_type_symbol
_atom_site_fract_x
_atom_site_fract_y
_atom_site_fract_z
Y1 Y 0.000 0.500 0.000
Sc1 Sc 0.000 0.000 0.500
Co1 Co 0.000 0.000 0.000
Pb1 Pb 0.500 0.500 0.500
```

Output
Energy of formation from the pure elements   -0.2482 eV/atom



(9)
VASP calculation (PBE-GGA) on a relaxed structure of CoPbSe.

The structure in CIF format:
```
data_CoPbSe
_chemical_formula_sum 'Co4 Pb4 Se4'
_cell_length_a 6.418
_cell_length_b 6.489
_cell_length_c 6.652
_cell_angle_alpha 109.52
_cell_angle_beta 106.49
_cell_angle_gamma 90.66
_space_group_name_H-M_alt 'P 1'
_space_group_IT_number 1
loop_
_space_group_symop_operation_xyz
'x,y,z'
loop_
_atom_site_label
_atom_site_type_symbol
_atom_site_fract_x
_atom_site_fract_y
_atom_site_fract_z
Co1 Co 0.000 0.000 0.000
Co2 Co 0.019 0.424 0.382
Co3 Co 0.493 0.960 0.251
Co4 Co 0.636 0.538 0.152
Pb1 Pb 0.167 0.613 0.857
Pb2 Pb 0.363 0.662 0.421
Pb3 Pb 0.368 0.151 0.916
Pb4 Pb 0.874 0.878 0.528
Se1 Se 0.188 0.103 0.372
Se2 Se 0.676 0.801 0.980
Se3 Se 0.678 0.331 0.412
Se4 Se 0.894 0.344 0.000
```

Output
Relative energy among the computed polymorphs   0.000 eV per atom
Raw formation energy   -0.068 eV per atom



(10)
VASP calculation (PBE-GGA) on a relaxed structure of CoPb2Se.

The structure in CIF format:
```
data_CoPb2Se
_chemical_formula_sum 'Co4 Pb8 Se4'
_cell_length_a 7.215
_cell_length_b 7.215
_cell_length_c 7.215
_cell_angle_alpha 90.00
_cell_angle_beta 90.00
_cell_angle_gamma 90.00
_space_group_name_H-M_alt 'F -4 3 m'
_space_group_IT_number 216
_space_group_name_Hall 'F -4 2 3'
loop_
_atom_site_label
_atom_site_type_symbol
_atom_site_fract_x
_atom_site_fract_y
_atom_site_fract_z
Co1 Co 0.000 0.000 0.000
Pb1 Pb 0.000 0.000 0.500
Pb2 Pb 0.250 0.250 0.750
Se1 Se 0.250 0.250 0.250
```

Output
Raw formation energy   0.542 eV per atom



(11)
VASP calculation (PBE-GGA) on a relaxed structure of CoPbSe4.

The structure in CIF format:
```
data_CoPbSe4
_chemical_formula_sum 'Co4 Pb4 Se16'
_cell_length_a 8.194
_cell_length_b 8.194
_cell_length_c 8.194
_cell_angle_alpha 90.00
_cell_angle_beta 90.00
_cell_angle_gamma 90.00
_space_group_name_H-M_alt 'F -4 3 m'
_space_group_IT_number 216
_space_group_name_Hall 'F -4 2 3'
loop_
_atom_site_label
_atom_site_type_symbol
_atom_site_fract_x
_atom_site_fract_y
_atom_site_fract_z
Co1 Co 0.000 0.000 0.000
Pb1 Pb 0.250 0.250 0.750
Se1 Se 0.127 0.127 0.373
```

Output
Raw formation energy   0.713 eV per atom



(12)
VASP calculation (PBE-GGA) on a relaxed structure of Co3PbSe.

The structure in CIF format:
```
data_Co3PbSe
_chemical_formula_sum 'Co3 Pb1 Se1'
_cell_length_a 4.439
_cell_length_b 4.439
_cell_length_c 4.439
_cell_angle_alpha 90.00
_cell_angle_beta 90.00
_cell_angle_gamma 90.00
_space_group_name_H-M_alt 'P m -3 m'
_space_group_IT_number 221
_space_group_name_Hall '-P 4 2 3'
loop_
_atom_site_label
_atom_site_type_symbol
_atom_site_fract_x
_atom_site_fract_y
_atom_site_fract_z
Co1 Co 0.000 0.000 0.500
Pb1 Pb 0.500 0.500 0.500
Se1 Se 0.000 0.000 0.000
```

Output
Relative energy among the computed polymorphs   0.000 eV per atom
Raw formation energy   0.530 eV per atom